(1)
VASP calculation (PBE-GGA) on a geometry-optimized CaZn2Pt structure.

The calculation puts the calculated formation energy at -412 meV/atom. As for the space-group type: P4/mmm. The total magnetization is 0.000 μB/f.u. As for the final energy: -3.06 eV per atom.

```
CaZn2Pt
1.0
-0.320 0.283 3.391
-3.323 -0.762 -0.250
1.373 -6.199 0.647
Zn Ca Pt
2 1 1
Cartesian
0.759 -3.425 0.357
1.301 -5.873 0.613
-1.478 -1.789 1.732
-0.791 -4.889 2.056
```



(2)
VASP calculation (PBE-GGA) on a geometry-optimized CaZnPt structure.

The calculation puts the calculated formation energy at -87 meV/atom. As for the space-group type: F-43m. The total magnetization is 0.000 μB/f.u. As for the final energy: -3.19 eV per atom.

```
CaZnPt
1.0
-2.663 -3.462 1.730
-2.152 -2.989 -2.917
1.459 -4.456 -0.293
Pt Ca Zn
1 1 1
Cartesian
0.000 0.000 0.000
-2.517 -8.181 -1.110
-1.678 -5.454 -0.740
```



(3)
VASP calculation (PBE-GGA) on a geometry-optimized CaZn2Pt structure.

The calculation puts the calculated formation energy at -634 meV/atom. As for the space-group type: Pnma. The total magnetization is 0.000 μB/f.u. As for the final energy: -3.28 eV per atom.

```
CaZn2Pt
1.0
-0.085 -2.127 -5.186
6.846 -2.081 0.741
-2.383 -6.828 2.840
Ca Zn Pt
4 8 4
Cartesian
2.793 -9.425 0.110
1.586 -1.612 -1.715
3.961 -6.597 -2.739
0.418 -4.440 1.134
4.447 -7.870 2.569
-0.069 -3.167 -4.174
2.554 -3.964 -3.891
2.990 -4.311 -0.725
5.612 -5.108 -0.441
-1.234 -5.928 -1.164
1.824 -7.073 2.285
1.389 -6.725 -0.880
3.611 -6.613 0.446
4.822 -2.713 0.211
-0.443 -8.323 -1.816
0.767 -4.423 -2.051
```



Question: The lowest final energy belongs to which entry?
Answer: number 3